1.
Here is a relaxed LiSc5Pd6 crystal from Alexandria via LeMat-Bulk. Energies are from PBE.

Unit cell a=4.6401 b=8.0341 c=8.0341 alpha=120.06 beta=106.83 gamma=106.83
Closest atoms and distances in Å follow each position.
Sites, in units of the cell vectors:
Sc: 0.5000 0.1597 0.8403  8 Pd 2.79-2.87
Sc: 0.0000 0.3324 0.6676  8 Pd 2.81-2.82
Sc: 0.5000 0.5000 0.5000  8 Pd 2.81-2.86
Sc: 0.0000 0.6676 0.3324  8 Pd 2.81-2.82
Sc: 0.5000 0.8403 0.1597  8 Pd 2.79-2.87
Pd: 0.2544 0.0846 0.4242  7 Sc 2.81-2.87, 1 Li 2.89
Pd: 0.7456 0.5758 0.9154  7 Sc 2.81-2.87, 1 Li 2.89
Pd: 0.7581 0.2576 0.2576  6 Sc 2.79-2.82, 2 Li 2.87
Pd: 0.2419 0.7424 0.7424  6 Sc 2.79-2.82, 2 Li 2.87
Pd: 0.2544 0.4242 0.0846  7 Sc 2.81-2.87, 1 Li 2.89
Pd: 0.7456 0.9154 0.5758  7 Sc 2.81-2.87, 1 Li 2.89
Li: 0.0000 0.0000 0.0000  8 Pd 2.87-2.89

Properties
Crystal system: monoclinic
Raw total energy, eV/atom: -6.236
Mass density, Mg/m³: 6.84
DFT formation energy, meV per atom: -842

***

2.
Here is a relaxed LiScPd4 crystal from Alexandria via LeMat-Bulk. Energies are from PBE.

Unit cell a=4.1358 b=7.1521 c=10.9244 alpha=139.87 beta=90.00 gamma=106.80
Closest atoms and distances in Å follow each position.
Sites, in units of the cell vectors:
Li: 0.5000 0.5000 0.0000  8 Pd 2.69-2.71, 4 Sc 2.92
Li: 0.0000 0.5000 0.5000  8 Pd 2.69-2.71, 4 Sc 2.92
Sc: 0.2500 0.0000 0.2500  8 Pd 2.70-2.71, 4 Li 2.92
Sc: 0.7500 0.0000 0.7500  8 Pd 2.70-2.71, 4 Li 2.92
Pd: 0.9996 0.4992 0.1596  2 Sc 2.70-2.71, 2 Li 2.71, 8 Pd 2.85-2.92
Pd: 0.5004 0.5008 0.3404  2 Sc 2.70-2.71, 2 Li 2.71, 8 Pd 2.85-2.92
Pd: 0.0004 0.5008 0.8404  2 Sc 2.70-2.71, 2 Li 2.71, 8 Pd 2.85-2.92
Pd: 0.4996 0.4992 0.6596  2 Sc 2.70-2.71, 2 Li 2.71, 8 Pd 2.85-2.92
Pd: 0.2501 0.0002 0.5907  2 Li 2.69-2.70, 2 Sc 2.70, 8 Pd 2.85-2.92
Pd: 0.2499 0.9998 0.9092  2 Li 2.69-2.70, 2 Sc 2.70, 8 Pd 2.85-2.92
Pd: 0.7499 0.9998 0.4093  2 Li 2.69-2.70, 2 Sc 2.70, 8 Pd 2.85-2.92
Pd: 0.7501 0.0002 0.0908  2 Li 2.69-2.70, 2 Sc 2.70, 8 Pd 2.85-2.92

Properties
Crystal system: monoclinic
Raw total energy, eV/atom: -5.406
Mass density, Mg/m³: 8.52
Distance to the lowest polymorph of the same formula, meV per atom: 12
DFT formation energy, meV per atom: -570

***

3.
Here is a relaxed Li2ScPd8 crystal from Alexandria via LeMat-Bulk. Energies are from PBE.

Unit cell a=4.1466 b=6.5575 c=6.5575 alpha=105.87 beta=90.06 gamma=90.06
Closest atoms and distances in Å follow each position.
Sites, in units of the cell vectors:
Li: 0.0000 0.6188 0.3812  4 Pd 2.43-2.55, 1 Li 2.49
Li: 0.0000 0.3812 0.6188  4 Pd 2.43-2.55, 1 Li 2.49
Sc: 0.5000 0.0000 0.0000  12 Pd 2.62-2.87
Pd: 0.9992 0.9572 0.6877  1 Li 2.55, 7 Pd 2.67-2.83
Pd: 0.9992 0.6877 0.9572  1 Li 2.55, 7 Pd 2.67-2.83
Pd: 0.4990 0.6687 0.6687  1 Sc 2.62, 7 Pd 2.67-2.84, 4 Li 2.76-2.77
Pd: 0.5000 0.2606 0.7394  2 Li 2.43
Pd: 0.5000 0.7394 0.2606  2 Li 2.43
Pd: 0.5010 0.3313 0.3313  1 Sc 2.62, 7 Pd 2.67-2.84, 4 Li 2.76-2.77
Pd: 0.0008 0.3123 0.0428  1 Li 2.55, 7 Pd 2.67-2.83
Pd: 0.0008 0.0428 0.3123  1 Li 2.55, 7 Pd 2.67-2.83

Properties
Crystal system: monoclinic
Raw total energy, eV/atom: -5.016
Mass density, Mg/m³: 8.81
Distance to the lowest polymorph of the same formula, meV per atom: 146
DFT formation energy, meV per atom: -316

***

4.
Here is a relaxed LiScPd4 crystal from Alexandria via LeMat-Bulk. Energies are from PBE.

Unit cell a=3.7871 b=4.9668 c=6.3487 alpha=106.55 beta=72.65 gamma=67.59
Closest atoms and distances in Å follow each position.
Sites, in units of the cell vectors:
Li: 0.0000 0.0000 0.0000  10 Pd 2.72-2.94, 2 Sc 2.86
Sc: 0.5000 0.5000 0.5000  10 Pd 2.75-2.94, 2 Li 2.86
Pd: 0.8286 0.5097 0.8332  2 Sc 2.75, 3 Li 2.76-2.94, 7 Pd 2.80-2.92
Pd: 0.3390 0.9995 0.3225  2 Li 2.72, 3 Sc 2.79-2.94, 7 Pd 2.80-2.92
Pd: 0.1714 0.4903 0.1668  2 Sc 2.75, 3 Li 2.76-2.94, 7 Pd 2.80-2.92
Pd: 0.6610 0.0005 0.6775  2 Li 2.72, 3 Sc 2.79-2.94, 7 Pd 2.80-2.92

Properties
Crystal system: monoclinic
Raw total energy, eV/atom: -5.418
Mass density, Mg/m³: 8.44
Distance to the lowest polymorph of the same formula, meV per atom: 0
DFT formation energy, meV per atom: -582

***

5.
Here is a relaxed LiScPd6 crystal from Alexandria via LeMat-Bulk. Energies are from PBE.

Unit cell a=6.8825 b=7.4951 c=5.0936 alpha=42.51 beta=47.51 gamma=57.07
Closest atoms and distances in Å follow each position.
Sites, in units of the cell vectors:
Li: 0.5000 0.5000 0.5000  6 Pd 2.69-2.70
Sc: 0.0000 0.0000 0.0000  12 Pd 2.75-3.00
Pd: 0.9468 0.4570 0.8475  6 Pd 2.63-2.92, 1 Li 2.70, 1 Sc 2.75
Pd: 0.7484 0.9469 0.7617  6 Pd 2.63-2.92, 1 Li 2.69, 1 Sc 2.76
Pd: 0.4561 0.2514 0.3466  6 Pd 2.62-2.92, 1 Li 2.69, 1 Sc 2.75
Pd: 0.2516 0.0531 0.2383  6 Pd 2.63-2.92, 1 Li 2.69, 1 Sc 2.76
Pd: 0.0532 0.5430 0.1525  6 Pd 2.63-2.92, 1 Li 2.70, 1 Sc 2.75
Pd: 0.5439 0.7486 0.6534  6 Pd 2.62-2.92, 1 Li 2.69, 1 Sc 2.75

Properties
Crystal system: triclinic
Raw total energy, eV/atom: -5.343
Mass density, Mg/m³: 8.79
Distance to the lowest polymorph of the same formula, meV per atom: 128
DFT formation energy, meV per atom: -417

***

6.
Here is a relaxed LiScPd5 crystal from Alexandria via LeMat-Bulk. Energies are from PBE.

Unit cell a=4.0589 b=4.0589 c=6.7919 alpha=90.00 beta=90.00 gamma=90.00
Closest atoms and distances in Å follow each position.
Sites, in units of the cell vectors:
Li: 0.5000 0.5000 0.0000  8 Pd 2.50
Sc: 0.0000 0.0000 0.5000  12 Pd 2.80-2.87
Pd: 0.0000 0.5000 0.7848  2 Li 2.50
Pd: 0.0000 0.5000 0.2152  2 Li 2.50
Pd: 0.5000 0.0000 0.7848  2 Li 2.50
Pd: 0.5000 0.0000 0.2152  2 Li 2.50
Pd: 0.5000 0.5000 0.5000  8 Pd 2.80, 4 Sc 2.87

Properties
Crystal system: tetragonal
Raw total energy, eV/atom: -5.344
Mass density, Mg/m³: 8.67
DFT formation energy, meV per atom: -457

***

7.
Here is a relaxed LiScPd3 crystal from Alexandria via LeMat-Bulk. Energies are from PBE.

Unit cell a=4.2853 b=4.2853 c=4.2853 alpha=90.00 beta=90.00 gamma=90.00
Closest atoms and distances in Å follow each position.
Sites, in units of the cell vectors:
Sc: 0.5000 0.5000 0.5000  12 Pd 3.03
Pd: 0.0000 0.5000 0.0000  2 Li 2.14
Pd: 0.0000 0.0000 0.5000  2 Li 2.14
Pd: 0.5000 0.0000 0.0000  2 Li 2.14
Li: 0.0000 0.0000 0.0000  6 Pd 2.14

Properties
Crystal system: cubic
Raw total energy, eV/atom: -5.120
Mass density, Mg/m³: 7.83
Distance to the lowest polymorph of the same formula, meV per atom: 298
DFT formation energy, meV per atom: -355

***

8.
Here is a relaxed Li8ScPd6 crystal from Alexandria via LeMat-Bulk. Energies are from PBE.

Unit cell a=7.5915 b=7.5915 c=6.8045 alpha=56.09 beta=56.09 gamma=60.00
Closest atoms and distances in Å follow each position.
Sites, in units of the cell vectors:
Li: 0.5320 0.2184 0.3628  5 Pd 2.58-2.85
Li: 0.7816 0.1133 0.6372  5 Pd 2.58-2.85
Li: 0.1133 0.4680 0.6372  5 Pd 2.58-2.85
Li: 0.6750 0.6750 0.9749  6 Pd 2.61-2.63
Li: 0.3250 0.3250 0.0251  6 Pd 2.61-2.63
Li: 0.8867 0.5320 0.3628  5 Pd 2.58-2.85
Li: 0.2184 0.8867 0.3628  5 Pd 2.58-2.85
Li: 0.4680 0.7816 0.6372  5 Pd 2.58-2.85
Sc: 0.0000 0.0000 0.0000  6 Pd 2.64
Pd: 0.3752 0.0524 0.8681  7 Li 2.58-2.85, 1 Sc 2.64, 1 Pd 2.85
Pd: 0.9476 0.2957 0.1319  7 Li 2.58-2.85, 1 Sc 2.64, 1 Pd 2.85
Pd: 0.2957 0.6248 0.1319  7 Li 2.58-2.85, 1 Sc 2.64, 1 Pd 2.85
Pd: 0.7043 0.3752 0.8681  7 Li 2.58-2.85, 1 Sc 2.64, 1 Pd 2.85
Pd: 0.0524 0.7043 0.8681  7 Li 2.58-2.85, 1 Sc 2.64, 1 Pd 2.85
Pd: 0.6248 0.9476 0.1319  7 Li 2.58-2.85, 1 Sc 2.64, 1 Pd 2.85

Properties
Crystal system: trigonal
Raw total energy, eV/atom: -3.858
Mass density, Mg/m³: 4.72
DFT formation energy, meV per atom: -338

***

9.
Here is a relaxed Li2Sc2Pd7 crystal from Alexandria via LeMat-Bulk. Energies are from PBE.

Unit cell a=5.4546 b=6.9408 c=5.4546 alpha=90.00 beta=114.29 gamma=90.00
Closest atoms and distances in Å follow each position.
Sites, in units of the cell vectors:
Li: 0.8231 0.5000 0.8231  1 Li 2.09
Li: 0.1769 0.5000 0.1769  1 Li 2.09
Sc: 0.6831 0.0000 0.3169  7 Pd 2.61-2.90
Sc: 0.3169 0.0000 0.6831  7 Pd 2.61-2.90
Pd: 0.0000 0.3029 0.5000  2 Sc 2.64, 2 Li 2.70, 5 Pd 2.73-2.96
Pd: 0.5000 0.6971 0.0000  2 Sc 2.64, 2 Li 2.70, 5 Pd 2.73-2.96
Pd: 0.0000 0.6971 0.5000  2 Sc 2.64, 2 Li 2.70, 5 Pd 2.73-2.96
Pd: 0.5000 0.3029 0.0000  2 Sc 2.64, 2 Li 2.70, 5 Pd 2.73-2.96
Pd: 0.0000 0.0000 0.0000  2 Sc 2.90
Pd: 0.5000 0.7125 0.5000  2 Li 2.42, 2 Sc 2.61
Pd: 0.5000 0.2875 0.5000  2 Li 2.42, 2 Sc 2.61

Properties
Crystal system: orthorhombic
Raw total energy, eV/atom: -5.158
Mass density, Mg/m³: 7.49
DFT formation energy, meV per atom: -354

***

10.
Here is a relaxed Li2ScPdSe crystal from Alexandria via LeMat-Bulk. Energies are from PBE.

Unit cell a=4.4739 b=5.1662 c=4.4739 alpha=90.00 beta=90.00 gamma=90.00
Closest atoms and distances in Å follow each position.
Sites, in units of the cell vectors:
Sc: 0.0000 0.5000 0.0000  2 Se 2.58
Se: 0.0000 0.0000 0.0000  4 Li 2.24
Pd: 0.5000 0.5000 0.5000  4 Sc 3.16, 8 Li 3.42
Li: 0.0000 0.0000 0.5000  2 Se 2.24
Li: 0.5000 0.0000 0.0000  2 Se 2.24

Properties
Crystal system: tetragonal
E_form (uncorrected), eV per atom: -0.53
Raw total energy, eV/atom: -4.299
Mass density, Mg/m³: 3.92